1.
8
Lattice="6.2610 0.2357 0.3409 -2.7856 5.6121 -0.3409 -2.7856 -2.3011 5.1300" Properties=species:S:1:pos:R:3 comment="Si2BiAs, single point on PBEsol structure, DFT meta-GGA SCAN" total_magnetization_mub_per_cell=0.00 e_form_raw_ev_per_atom=0.511 density_g_cm3=6.1 pbc="T T T"
Si -3.3224 3.9528 1.8768
Si 2.5937 0.8003 0.7691
Si 2.6194 0.4216 4.4505
Si -0.5111 1.9186 3.1636
Bi 0.3449 3.7516 1.1973
Bi 0.0000 0.0000 0.0000
As 0.3449 -0.2050 3.9327
As -2.7856 1.6555 2.3946

=====

2.
4
Lattice="3.6923 0.0000 0.0000 1.8461 3.1976 0.0000 1.8461 1.0659 6.0598" Properties=species:S:1:pos:R:3 comment="LaReN2, single point on PBEsol structure, DFT meta-GGA SCAN" total_magnetization_mub_per_cell=0.00 e_form_raw_ev_per_atom=-0.298 density_g_cm3=8.2 pbc="T T T"
La 3.6923 2.1317 3.0299
N 5.5384 3.1976 1.8345
N 1.8461 1.0659 4.2253
Re 0.0000 0.0000 0.0000